Record 1
## HgMo2Rh (GGA-PBEsol)

Data for crystalline HgMo2Rh at its relaxed geometry.

Cell: 3.7979 3.7979 8.6387 Å, 90.00 90.00 90.00°
Space group I4/mmm (No. 139)
Symmetry-distinct sites (fractional):
Hg1 0.0000 0.0000 0.0000 [2 per cell]
Mo1 0.0000 0.5000 0.2500 [4 per cell]
Rh1 0.0000 0.0000 0.5000 [2 per cell]

## Properties
ρ, g/cm³: 13.2
DOS at the Fermi energy, states/eV/cell: 8.49
Total moment, μB per atom: 0.000
E, eV per atom: -7.806

Record 2
## Hg2MoRu (GGA-PBEsol)

Data for crystalline Hg2MoRu at its relaxed geometry.

Cell: 3.9457 3.9457 4.3439 Å, 90.00 90.00 90.00°
Space group P4/mmm (No. 123)
Symmetry-distinct sites (fractional):
Hg1 0.0000 0.5000 0.0000 [2 per cell]
Mo1 0.0000 0.0000 0.5000 [1 per cell]
Ru1 0.5000 0.5000 0.5000 [1 per cell]

## Properties
ρ, g/cm³: 14.7
DOS at the Fermi energy, states/eV/cell: 5.19
Total moment, μB per atom: 0.002
E, eV per atom: -5.077

Record 3
## HgMoRu2 (GGA-PBEsol)

Data for crystalline HgMoRu2 at its relaxed geometry.

Cell: 5.6262 9.0055 2.7400 Å, 90.00 117.74 90.00°
Space group C2/m (No. 12)
Symmetry-distinct sites (fractional):
Hg1 0.0000 0.0000 0.0000 [2 per cell]
Mo1 0.0000 0.5000 0.0000 [2 per cell]
Ru1 0.2500 0.2500 0.5000 [4 per cell]

## Properties
ρ, g/cm³: 13.5
DOS at the Fermi energy, states/eV/cell: 9.80
Total moment, μB per atom: 0.001
E, eV per atom: -7.578

Record 4
## HgMoRu2 (GGA-PBEsol)

Data for crystalline HgMoRu2 at its relaxed geometry.

Cell: 9.3298 2.8047 4.7644 Å, 90.00 101.13 90.00°
Space group Cm (No. 8)
Symmetry-distinct sites (fractional):
Hg1 0.0000 0.0000 0.0000 [2 per cell]
Mo1 0.2372 0.0000 0.7023 [2 per cell]
Ru1 0.2588 0.5000 0.2558 [2 per cell]
Ru2 0.4879 0.0000 0.4984 [2 per cell]

## Properties
ρ, g/cm³: 13.5
DOS at the Fermi energy, states/eV/cell: 8.07
Total moment, μB per atom: 0.000
E, eV per atom: -7.772

Record 5
## HgMoRu2 (GGA-PBEsol)

Data for crystalline HgMoRu2 at its relaxed geometry.

Cell: 2.7881 3.9747 5.5486 Å, 90.00 90.00 90.00°
Space group Pmm2 (No. 25)
Symmetry-distinct sites (fractional):
Hg1 0.0000 0.0000 0.0000 [1 per cell]
Mo1 0.5000 0.5000 0.2954 [1 per cell]
Ru1 0.0000 0.0000 0.5006 [1 per cell]
Ru2 0.5000 0.5000 0.7283 [1 per cell]

## Properties
ρ, g/cm³: 13.5
DOS at the Fermi energy, states/eV/cell: 4.59
Total moment, μB per atom: 0.000
E, eV per atom: -7.823

Record 6
## HgMoRu2 (GGA-PBEsol)

Data for crystalline HgMoRu2 at its relaxed geometry.

Cell: 2.7404 2.7404 8.1479 Å, 90.00 90.00 90.00°
Space group P4mm (No. 99)
Symmetry-distinct sites (fractional):
Hg1 0.0000 0.0000 0.0000 [1 per cell]
Mo1 0.5000 0.5000 0.2771 [1 per cell]
Ru1 0.0000 0.0000 0.5249 [1 per cell]
Ru2 0.5000 0.5000 0.7328 [1 per cell]

## Properties
ρ, g/cm³: 13.5
DOS at the Fermi energy, states/eV/cell: 3.91
Total moment, μB per atom: 0.000
E, eV per atom: -7.846

Among the records above, which one has the lowest E? number 6

Which of these has the lowest ρ? HgMo2Rh

What did the sixth record say?
## HgMoRu2 (GGA-PBEsol)

Data for crystalline HgMoRu2 at its relaxed geometry.

Cell: 2.7404 2.7404 8.1479 Å, 90.00 90.00 90.00°
Space group P4mm (No. 99)
Symmetry-distinct sites (fractional):
Hg1 0.0000 0.0000 0.0000 [1 per cell]
Mo1 0.5000 0.5000 0.2771 [1 per cell]
Ru1 0.0000 0.0000 0.5249 [1 per cell]
Ru2 0.5000 0.5000 0.7328 [1 per cell]

## Properties
ρ, g/cm³: 13.5
DOS at the Fermi energy, states/eV/cell: 3.91
Total moment, μB per atom: 0.000
E, eV per atom: -7.846